# PBE SrAc4Si4, relaxed
data_SrAc4Si4
_symmetry_space_group_name_H-M 'P 42/n'
_symmetry_Int_Tables_number 86
_cell_length_a 9.615
_cell_length_b 9.615
_cell_length_c 6.462
_cell_angle_alpha 90.00
_cell_angle_beta 90.00
_cell_angle_gamma 90.00
loop_
_symmetry_equiv_pos_as_xyz
'x,y,z'
'-x,-y,-z'
'-y,x+1/2,z+1/2'
'y,-x+1/2,-z+1/2'
'-x+1/2,-y+1/2,z'
'x+1/2,y+1/2,-z'
'y+1/2,-x,z+1/2'
'-y+1/2,x,-z+1/2'
loop_
_atom_site_label
_atom_site_type_symbol
_atom_site_fract_x
_atom_site_fract_y
_atom_site_fract_z
Sr1 Sr 0.250 0.250 0.250
Ac1 Ac 0.069 0.661 0.113
Si1 Si 0.013 0.608 0.597
# energy relative to the elements, uncorrected: -0.34 eV/atom


# PBE Cs3Rb12Se5, relaxed
data_Cs3Rb12Se5
_symmetry_space_group_name_H-M 'I a -3 d'
_symmetry_Int_Tables_number 230
_symmetry_space_group_name_Hall '-I 4bd 2c 3'
_cell_length_a 22.654
_cell_length_b 22.654
_cell_length_c 22.654
_cell_angle_alpha 90.00
_cell_angle_beta 90.00
_cell_angle_gamma 90.00
loop_
_atom_site_label
_atom_site_type_symbol
_atom_site_fract_x
_atom_site_fract_y
_atom_site_fract_z
Cs1 Cs 0.000 0.250 0.125
Rb1 Rb 0.042 0.136 0.952
Se1 Se 0.000 0.000 0.000
Se2 Se 0.000 0.250 0.375
# energy relative to the elements, uncorrected: -0.58 eV/atom


# PBE Li2TlIn2, relaxed
data_Li2TlIn2
_symmetry_space_group_name_H-M 'C 1 2/c 1'
_symmetry_Int_Tables_number 15
_cell_length_a 11.522
_cell_length_b 5.124
_cell_length_c 7.989
_cell_angle_alpha 90.00
_cell_angle_beta 108.10
_cell_angle_gamma 90.00
loop_
_symmetry_equiv_pos_as_xyz
'x,y,z'
'-x,-y,-z'
'-x,y,-z+1/2'
'x,-y,z+1/2'
'x+1/2,y+1/2,z'
'-x+1/2,-y+1/2,-z'
'-x+1/2,y+1/2,-z+1/2'
'x+1/2,-y+1/2,z+1/2'
loop_
_atom_site_label
_atom_site_type_symbol
_atom_site_fract_x
_atom_site_fract_y
_atom_site_fract_z
Li1 Li 0.103 0.173 0.450
Tl1 Tl 0.000 0.314 0.750
In1 In 0.195 0.316 0.152
# E above lowest polymorph: 0.0000 eV per atom
# DFT formation energy: -0.176 eV per atom


# PBE Pm8Te4Pt3S, relaxed
data_Pm8Te4Pt3S
_symmetry_space_group_name_H-M 'R -3 m'
_symmetry_Int_Tables_number 166
_symmetry_space_group_name_Hall '-R 3 2"'
_cell_length_a 8.5040
_cell_length_b 8.5040
_cell_length_c 22.1604
_cell_angle_alpha 90.00
_cell_angle_beta 90.00
_cell_angle_gamma 120.00
loop_
_atom_site_label
_atom_site_type_symbol
_atom_site_fract_x
_atom_site_fract_y
_atom_site_fract_z
Pm1 Pm 0.0000 0.0000 0.2370
Pm2 Pm 0.0037 0.5018 0.7607
Te1 Te 0.0000 0.0000 0.0000
Te2 Te 0.0000 0.5000 0.0000
Pt1 Pt 0.0000 0.5000 0.5000
S1 S 0.0000 0.0000 0.5000
# energy relative to the elements, uncorrected: -1.37 eV/atom


# PBE PO, relaxed
data_PO
_symmetry_space_group_name_H-M 'P 1'
_symmetry_Int_Tables_number 1
_cell_length_a 2.670
_cell_length_b 4.191
_cell_length_c 5.651
_cell_angle_alpha 86.41
_cell_angle_beta 76.59
_cell_angle_gamma 71.55
loop_
_symmetry_equiv_pos_as_xyz
'x,y,z'
loop_
_atom_site_label
_atom_site_type_symbol
_atom_site_fract_x
_atom_site_fract_y
_atom_site_fract_z
P1 P 0.000 0.000 0.000
P2 P 0.177 0.333 0.313
O1 O 0.149 0.609 0.093
O2 O 0.522 0.485 0.478
# E above lowest polymorph: 0.2538 eV per atom
# energy relative to the elements, uncorrected: -0.82 eV/atom


# PBE LiNdAl2, relaxed
data_LiNdAl2
_symmetry_space_group_name_H-M 'R -3 m'
_symmetry_Int_Tables_number 166
_symmetry_space_group_name_Hall '-R 3 2"'
_cell_length_a 4.4168
_cell_length_b 4.4168
_cell_length_c 16.0164
_cell_angle_alpha 90.00
_cell_angle_beta 90.00
_cell_angle_gamma 120.00
loop_
_atom_site_label
_atom_site_type_symbol
_atom_site_fract_x
_atom_site_fract_y
_atom_site_fract_z
Li1 Li 0.0000 0.0000 0.0000
Nd1 Nd 0.0000 0.0000 0.5000
Al1 Al 0.0000 0.0000 0.2943
# E above lowest polymorph: 0.0000 eV per atom
# DFT formation energy: -0.255 eV per atom


# PBE TaNb3Rh, relaxed
data_TaNb3Rh
_symmetry_space_group_name_H-M 'P n m a'
_symmetry_Int_Tables_number 62
_cell_length_a 5.166
_cell_length_b 9.389
_cell_length_c 7.711
_cell_angle_alpha 90.00
_cell_angle_beta 90.00
_cell_angle_gamma 90.00
loop_
_symmetry_equiv_pos_as_xyz
'x,y,z'
'-x,-y,-z'
'-x+1/2,-y,z+1/2'
'x+1/2,y,-z+1/2'
'x+1/2,-y+1/2,-z+1/2'
'-x+1/2,y+1/2,z+1/2'
'-x,y+1/2,-z'
'x,-y+1/2,z'
loop_
_atom_site_label
_atom_site_type_symbol
_atom_site_fract_x
_atom_site_fract_y
_atom_site_fract_z
Ta1 Ta 0.000 0.000 0.000
Nb1 Nb 0.000 0.081 0.369
Nb2 Nb 0.250 0.250 0.749
Rh1 Rh 0.000 0.250 0.094
# E above lowest polymorph: 0.1935 eV per atom
# DFT formation energy: 0.134 eV per atom


# PBE NdTl2Pt, relaxed
data_NdTl2Pt
_symmetry_space_group_name_H-M 'R -3 m'
_symmetry_Int_Tables_number 166
_symmetry_space_group_name_Hall '-R 3 2"'
_cell_length_a 3.6417
_cell_length_b 3.6417
_cell_length_c 30.6220
_cell_angle_alpha 90.00
_cell_angle_beta 90.00
_cell_angle_gamma 120.00
loop_
_atom_site_label
_atom_site_type_symbol
_atom_site_fract_x
_atom_site_fract_y
_atom_site_fract_z
Nd1 Nd 0.0000 0.0000 0.0000
Tl1 Tl 0.0000 0.0000 0.1048
Pt1 Pt 0.0000 0.0000 0.5000
# DFT formation energy: 0.116 eV per atom